A plane-wave DFT calculation with PBE-GGA was carried out for a relaxed structure of Np2Co3TcB12.

Cell: 8.4920 8.4920 8.4920 Å, 33.70 33.70 33.70°
Closest atoms and distances in Å follow each position.
Positions (direct):
Np 0.3533 0.3533 0.3533  3 B 2.49
Np 0.6467 0.6467 0.6467  3 B 2.49
B 0.8294 0.4178 0.4178  4 B 1.84-2.03, 2 Co 2.05
B 0.0531 0.0531 0.6505  4 B 1.84-1.98
B 0.3495 0.9469 0.9469  4 B 1.84-1.98
B 0.9469 0.9469 0.3495  4 B 1.84-1.98
B 0.4178 0.4178 0.8294  4 B 1.84-2.03, 2 Co 2.05
B 0.4178 0.8294 0.4178  4 B 1.84-2.03, 2 Co 2.05
B 0.9469 0.3495 0.9469  4 B 1.84-1.98
B 0.5822 0.1706 0.5822  4 B 1.84-2.03, 2 Co 2.05
B 0.5822 0.5822 0.1706  4 B 1.84-2.03, 2 Co 2.05
B 0.6505 0.0531 0.0531  4 B 1.84-1.98
B 0.1706 0.5822 0.5822  4 B 1.84-2.03, 2 Co 2.05
B 0.0531 0.6505 0.0531  4 B 1.84-1.98
Co 0.5000 0.0000 0.0000  6 B 2.05-2.07
Co 0.0000 0.0000 0.5000  6 B 2.05-2.07
Co 0.0000 0.5000 0.0000  6 B 2.05-2.07
Tc 0.0000 0.0000 0.0000  6 B 2.26

Properties
mass density = 8.7 g/cm³
ΔE_f = 0.146 eV per atom
spin magnetization = 0.31 μB per atom